Entry from Alexandria via LeMat-Bulk: OsRh2 after structural relaxation (PBE-GGA).

Cell lengths 5.9502, 5.9502, 5.9502 Å; angles 90.00, 90.00, 90.00 degrees
Closest atoms and distances in Å follow each position.
Space group Pa-3 (No. 205)
Symmetry-distinct sites (fractional):
Os1 0.0000 0.0000 0.0000 x4  6 Rh 2.48
Rh1 0.1198 0.6198 0.8802 x8  1 Rh 2.47, 3 Os 2.48

## Properties
calculated volume	17.6	Å³/atom
ΔE_f	0.94	eV/atom
energy	-7.71	eV per atom